(1)
RbSi2Au7: optimized geometry, PBE.

The total energy is -3.5480 eV per atom.

```
data_RbSi2Au7
_chemical_formula_sum 'Rb2 Si4 Au14'
_symmetry_space_group_name_H-M 'C m m m'
_symmetry_Int_Tables_number 65
_symmetry_space_group_name_Hall '-C 2 2'
_cell_length_a 8.926
_cell_length_b 10.877
_cell_length_c 4.747
_cell_angle_alpha 90.00
_cell_angle_beta 90.00
_cell_angle_gamma 90.00
loop_
_atom_site_label
_atom_site_fract_x
_atom_site_fract_y
_atom_site_fract_z
Rb1 0.000 0.000 0.000
Si1 0.000 0.259 0.500
Au1 0.000 0.335 0.000
Au2 0.000 0.500 0.500
Au3 0.224 0.125 0.500
```

(2)
RbSi2Au3: optimized geometry, PBE.

The total energy is -3.8396 eV per atom.

```
data_RbSi2Au3
_chemical_formula_sum 'Rb2 Si4 Au6'
_symmetry_space_group_name_H-M 'P m m n'
_symmetry_Int_Tables_number 59
_cell_length_a 4.742
_cell_length_b 12.282
_cell_length_c 4.905
_cell_angle_alpha 90.00
_cell_angle_beta 90.00
_cell_angle_gamma 90.00
loop_
_symmetry_equiv_pos_as_xyz
'x,y,z'
'-x,-y,-z'
'-x+1/2,-y+1/2,z'
'x+1/2,y+1/2,-z'
'x+1/2,-y,-z'
'-x+1/2,y,z'
'-x,y+1/2,-z'
'x,-y+1/2,z'
loop_
_atom_site_label
_atom_site_fract_x
_atom_site_fract_y
_atom_site_fract_z
Rb1 0.250 0.250 0.183
Si1 0.250 0.550 0.341
Au1 0.250 0.002 0.829
Au2 0.250 0.750 0.343
```

(3)
Rb3SiAu: optimized geometry, PBE.

Its excess energy over the best structure of this formula in the dataset is 0 meV per atom.

```
data_Rb3SiAu
_chemical_formula_sum 'Rb12 Si4 Au4'
_symmetry_space_group_name_H-M 'C 1 2/m 1'
_symmetry_Int_Tables_number 12
_cell_length_a 10.446
_cell_length_b 11.075
_cell_length_c 9.229
_cell_angle_alpha 90.00
_cell_angle_beta 122.24
_cell_angle_gamma 90.00
loop_
_symmetry_equiv_pos_as_xyz
'x,y,z'
'-x,-y,-z'
'-x,y,-z'
'x,-y,z'
'x+1/2,y+1/2,z'
'-x+1/2,-y+1/2,-z'
'-x+1/2,y+1/2,-z'
'x+1/2,-y+1/2,z'
loop_
_atom_site_label
_atom_site_fract_x
_atom_site_fract_y
_atom_site_fract_z
Rb1 0.088 0.000 0.275
Rb2 0.226 0.302 0.224
Si1 0.027 0.500 0.395
Au1 0.193 0.500 0.900
```

(4)
Rb3SiAu: optimized geometry, PBE.

Its excess energy over the best structure of this formula in the dataset is 325 meV per atom.

```
data_Rb3SiAu
_chemical_formula_sum 'Rb3 Si1 Au1'
_symmetry_space_group_name_H-M 'P m -3 m'
_symmetry_Int_Tables_number 221
_symmetry_space_group_name_Hall '-P 4 2 3'
_cell_length_a 6.471
_cell_length_b 6.471
_cell_length_c 6.471
_cell_angle_alpha 90.00
_cell_angle_beta 90.00
_cell_angle_gamma 90.00
loop_
_atom_site_label
_atom_site_fract_x
_atom_site_fract_y
_atom_site_fract_z
Rb1 0.000 0.000 0.500
Si1 0.500 0.500 0.500
Au1 0.000 0.000 0.000
```

(5)
RbSi2Au2: optimized geometry, PBE.

Its excess energy over the best structure of this formula in the dataset is 299 meV per atom.

```
data_RbSi2Au2
_chemical_formula_sum 'Rb2 Si4 Au4'
_symmetry_space_group_name_H-M 'P 4/m b m'
_symmetry_Int_Tables_number 127
_symmetry_space_group_name_Hall '-P 4 2ab'
_cell_length_a 8.623
_cell_length_b 8.623
_cell_length_c 2.877
_cell_angle_alpha 90.00
_cell_angle_beta 90.00
_cell_angle_gamma 90.00
loop_
_atom_site_label
_atom_site_fract_x
_atom_site_fract_y
_atom_site_fract_z
Rb1 0.000 0.000 0.000
Si1 0.138 0.362 0.500
Au1 0.136 0.636 0.000
```

(6)
Rb2SiAu2: optimized geometry, PBE.

Its excess energy over the best structure of this formula in the dataset is 52 meV per atom.

```
data_Rb2SiAu2
_chemical_formula_sum 'Rb8 Si4 Au8'
_symmetry_space_group_name_H-M 'C 1 2/m 1'
_symmetry_Int_Tables_number 12
_cell_length_a 13.949
_cell_length_b 6.643
_cell_length_c 10.463
_cell_angle_alpha 90.00
_cell_angle_beta 127.86
_cell_angle_gamma 90.00
loop_
_symmetry_equiv_pos_as_xyz
'x,y,z'
'-x,-y,-z'
'-x,y,-z'
'x,-y,z'
'x+1/2,y+1/2,z'
'-x+1/2,-y+1/2,-z'
'-x+1/2,y+1/2,-z'
'x+1/2,-y+1/2,z'
loop_
_atom_site_label
_atom_site_fract_x
_atom_site_fract_y
_atom_site_fract_z
Rb1 0.115 0.000 0.408
Rb2 0.178 0.500 0.051
Si1 0.168 0.500 0.690
Au1 0.037 0.500 0.396
Au2 0.121 0.000 0.091
```

Number 1: magnetization 0.00 Bohr magnetons per cell. Number 2: magnetization 0.00 Bohr magnetons per cell. Number 3: magnetization 0.00 Bohr magnetons per cell. Number 4: magnetization 2.00 Bohr magnetons per cell. Number 5: magnetization 0.00 Bohr magnetons per cell. Number 6: magnetization 0.00 Bohr magnetons per cell.